(1)
Entry from Alexandria: a geometry-optimized BaLiAgPd structure (PBE).

Cell and atoms, written as CIF:
```
data_BaLiAgPd
_cell_length_a 7.920
_cell_length_b 4.598
_cell_length_c 6.250
_cell_angle_alpha 90.00
_cell_angle_beta 114.99
_cell_angle_gamma 90.00
_space_group_name_H-M_alt 'C 1 m 1'
_space_group_IT_number 8
_space_group_name_Hall 'C -2y'
loop_
_atom_site_label
_atom_site_type_symbol
_atom_site_fract_x
_atom_site_fract_y
_atom_site_fract_z
Ba1 Ba 0.000 0.000 0.000
Li1 Li 0.492 0.000 0.474
Ag1 Ag 0.197 0.000 0.588
Pd1 Pd 0.298 0.500 0.393
```

Computed properties:
* spin magnetization: 0.00 μB per formula unit
* final energy: -3.319 eV per atom
* mass density: 5.77 g/cm3
* energy of formation from the pure elements: -349 meV/atom

(2)
Entry from Alexandria: a geometry-optimized TiSb2SeI structure (PBE).

Cell and atoms, written as CIF:
```
data_TiSb2SeI
_cell_length_a 5.384
_cell_length_b 5.384
_cell_length_c 5.129
_cell_angle_alpha 90.00
_cell_angle_beta 90.00
_cell_angle_gamma 90.00
_space_group_name_H-M_alt 'P 4/m m m'
_space_group_IT_number 123
_space_group_name_Hall '-P 4 2'
loop_
_atom_site_label
_atom_site_type_symbol
_atom_site_fract_x
_atom_site_fract_y
_atom_site_fract_z
Ti1 Ti 0.000 0.000 0.000
Sb1 Sb 0.000 0.500 0.000
Se1 Se 0.500 0.500 0.500
I1 I 0.000 0.000 0.500
```

Computed properties:
* distance to the lowest polymorph of the same formula: 0.000 eV/atom
* spin magnetization: 0.00 μB per formula unit
* final energy: -3.991 eV per atom
* mass density: 5.55 g/cm3

(3)
Entry from Alexandria: a geometry-optimized Zr2CuHRu structure (PBE).

Cell and atoms, written as CIF:
```
data_Zr2CuHRu
_cell_length_a 4.609
_cell_length_b 4.609
_cell_length_c 3.414
_cell_angle_alpha 90.00
_cell_angle_beta 90.00
_cell_angle_gamma 90.00
_space_group_name_H-M_alt 'P 4/m m m'
_space_group_IT_number 123
_space_group_name_Hall '-P 4 2'
loop_
_atom_site_label
_atom_site_type_symbol
_atom_site_fract_x
_atom_site_fract_y
_atom_site_fract_z
Zr1 Zr 0.000 0.500 0.000
Cu1 Cu 0.000 0.000 0.500
H1 H 0.000 0.000 0.000
Ru1 Ru 0.500 0.500 0.500
```

Computed properties:
* distance to the lowest polymorph of the same formula: 0.000 eV/atom
* spin magnetization: 0.00 μB per formula unit
* final energy: -7.083 eV per atom
* mass density: 7.97 g/cm3

(4)
Entry from Alexandria: a geometry-optimized BaIr2Br structure (PBE).

Cell and atoms, written as CIF:
```
data_BaIr2Br
_cell_length_a 5.243
_cell_length_b 5.243
_cell_length_c 16.122
_cell_angle_alpha 90.00
_cell_angle_beta 90.00
_cell_angle_gamma 90.00
_space_group_name_H-M_alt 'I -4 2 d'
_space_group_IT_number 122
_space_group_name_Hall 'I -4 2bw'
loop_
_atom_site_label
_atom_site_type_symbol
_atom_site_fract_x
_atom_site_fract_y
_atom_site_fract_z
Ba1 Ba 0.000 0.000 0.000
Ir1 Ir 0.044 0.750 0.625
Br1 Br 0.000 0.000 0.500
```

Computed properties:
* distance to the lowest polymorph of the same formula: 0.472 eV/atom
* spin magnetization: 0.00 μB per formula unit
* final energy: -5.050 eV per atom
* mass density: 9.02 g/cm3

(5)
Entry from Alexandria: a geometry-optimized NiSb3Pt structure (PBE).

Cell and atoms, written as CIF:
```
data_NiSb3Pt
_cell_length_a 4.877
_cell_length_b 4.877
_cell_length_c 4.877
_cell_angle_alpha 90.00
_cell_angle_beta 90.00
_cell_angle_gamma 90.00
_space_group_name_H-M_alt 'P m -3 m'
_space_group_IT_number 221
_space_group_name_Hall '-P 4 2 3'
loop_
_atom_site_label
_atom_site_type_symbol
_atom_site_fract_x
_atom_site_fract_y
_atom_site_fract_z
Ni1 Ni 0.000 0.000 0.000
Sb1 Sb 0.000 0.000 0.500
Pt1 Pt 0.500 0.500 0.500
```

Computed properties:
* distance to the lowest polymorph of the same formula: 0.000 eV/atom
* spin magnetization: 0.00 μB per formula unit
* final energy: -4.417 eV per atom
* mass density: 8.86 g/cm3

(6)
Entry from Alexandria: a geometry-optimized NiTeCl2 structure (PBE).

Cell and atoms, written as CIF:
```
data_NiTeCl2
_cell_length_a 5.096
_cell_length_b 5.096
_cell_length_c 3.200
_cell_angle_alpha 90.00
_cell_angle_beta 90.00
_cell_angle_gamma 90.00
_space_group_name_H-M_alt 'P 4/m m m'
_space_group_IT_number 123
_space_group_name_Hall '-P 4 2'
loop_
_atom_site_label
_atom_site_type_symbol
_atom_site_fract_x
_atom_site_fract_y
_atom_site_fract_z
Ni1 Ni 0.000 0.000 0.000
Te1 Te 0.500 0.500 0.000
Cl1 Cl 0.000 0.500 0.500
```

Computed properties:
* distance to the lowest polymorph of the same formula: 0.970 eV/atom
* spin magnetization: 0.82 μB per formula unit
* final energy: -2.583 eV per atom
* mass density: 5.14 g/cm3

(7)
Entry from Alexandria: a geometry-optimized Zn4NiPt5 structure (PBE).

Cell and atoms, written as CIF:
```
data_Zn4NiPt5
_cell_length_a 3.149
_cell_length_b 3.149
_cell_length_c 14.553
_cell_angle_alpha 90.00
_cell_angle_beta 90.00
_cell_angle_gamma 90.00
_space_group_name_H-M_alt 'P 4/m m m'
_space_group_IT_number 123
_space_group_name_Hall '-P 4 2'
loop_
_atom_site_label
_atom_site_type_symbol
_atom_site_fract_x
_atom_site_fract_y
_atom_site_fract_z
Zn1 Zn 0.000 0.000 0.102
Zn2 Zn 0.000 0.000 0.306
Ni1 Ni 0.000 0.000 0.500
Pt1 Pt 0.500 0.500 0.000
Pt2 Pt 0.500 0.500 0.202
Pt3 Pt 0.500 0.500 0.405
```

Computed properties:
* spin magnetization: 0.81 μB per formula unit
* final energy: -4.540 eV per atom
* mass density: 14.91 g/cm3
* energy of formation from the pure elements: -432 meV/atom

(8)
Entry from Alexandria: a geometry-optimized CaLaTiCr2 structure (PBE).

Cell and atoms, written as CIF:
```
data_CaLaTiCr2
_cell_length_a 4.779
_cell_length_b 4.779
_cell_length_c 5.379
_cell_angle_alpha 90.00
_cell_angle_beta 90.00
_cell_angle_gamma 90.00
_space_group_name_H-M_alt 'P 4/m m m'
_space_group_IT_number 123
_space_group_name_Hall '-P 4 2'
loop_
_atom_site_label
_atom_site_type_symbol
_atom_site_fract_x
_atom_site_fract_y
_atom_site_fract_z
Ca1 Ca 0.000 0.000 0.000
La1 La 0.000 0.000 0.500
Ti1 Ti 0.500 0.500 0.000
Cr1 Cr 0.000 0.500 0.500
```

Computed properties:
* spin magnetization: 3.31 μB per formula unit
* final energy: -5.183 eV per atom
* mass density: 4.47 g/cm3
* energy of formation from the pure elements: 1631 meV/atom

(9)
Entry from Alexandria: a geometry-optimized Th8In2Os structure (PBE).

Cell and atoms, written as CIF:
```
data_Th8In2Os
_cell_length_a 18.676
_cell_length_b 5.528
_cell_length_c 6.855
_cell_angle_alpha 90.00
_cell_angle_beta 110.04
_cell_angle_gamma 90.00
_space_group_name_H-M_alt 'C 1 2/m 1'
_space_group_IT_number 12
_space_group_name_Hall '-C 2y'
loop_
_atom_site_label
_atom_site_type_symbol
_atom_site_fract_x
_atom_site_fract_y
_atom_site_fract_z
Th1 Th 0.004 0.000 0.238
Th2 Th 0.091 0.500 0.748
Th3 Th 0.143 0.500 0.317
Th4 Th 0.219 0.000 0.128
In1 In 0.171 0.000 0.617
Os1 Os 0.000 0.500 0.000
```

Computed properties:
* spin magnetization: 0.00 μB per formula unit
* final energy: -6.981 eV per atom
* mass density: 11.37 g/cm3
* energy of formation from the pure elements: -66 meV/atom

(10)
Entry from Alexandria: a geometry-optimized Na2Cd5Ag2Rh structure (PBE).

Cell and atoms, written as CIF:
```
data_Na2Cd5Ag2Rh
_cell_length_a 11.871
_cell_length_b 11.871
_cell_length_c 3.185
_cell_angle_alpha 90.00
_cell_angle_beta 90.00
_cell_angle_gamma 90.00
_space_group_name_H-M_alt 'P 4/m b m'
_space_group_IT_number 127
_space_group_name_Hall '-P 4 2ab'
loop_
_atom_site_label
_atom_site_type_symbol
_atom_site_fract_x
_atom_site_fract_y
_atom_site_fract_z
Na1 Na 0.174 0.326 0.000
Cd1 Cd 0.000 0.500 0.500
Cd2 Cd 0.060 0.819 0.500
Ag1 Ag 0.139 0.639 0.000
Rh1 Rh 0.000 0.000 0.000
```

Computed properties:
* spin magnetization: 0.00 μB per formula unit
* final energy: -2.125 eV per atom
* mass density: 6.86 g/cm3
* energy of formation from the pure elements: -98 meV/atom

(11)
Entry from Alexandria: a geometry-optimized BeZnCd structure (PBE).

Cell and atoms, written as CIF:
```
data_BeZnCd
_cell_length_a 4.2276
_cell_length_b 4.2276
_cell_length_c 3.0041
_cell_angle_alpha 90.00
_cell_angle_beta 90.00
_cell_angle_gamma 120.00
_space_group_name_H-M_alt 'P 3 m 1'
_space_group_IT_number 156
_space_group_name_Hall 'P 3 -2"'
loop_
_atom_site_label
_atom_site_type_symbol
_atom_site_fract_x
_atom_site_fract_y
_atom_site_fract_z
Be1 Be 0.0000 0.0000 0.0000
Zn1 Zn 0.3333 0.6667 0.9950
Cd1 Cd 0.6667 0.3333 0.4949
```

Computed properties:
* distance to the lowest polymorph of the same formula: 0.141 eV/atom
* spin magnetization: 0.00 μB per formula unit
* final energy: -1.620 eV per atom
* mass density: 6.67 g/cm3
* energy of formation from the pure elements: 351 meV/atom

(12)
Entry from Alexandria: a geometry-optimized Nd5SnRu2 structure (PBE).

Cell and atoms, written as CIF:
```
data_Nd5SnRu2
_cell_length_a 7.949
_cell_length_b 7.949
_cell_length_c 14.038
_cell_angle_alpha 90.00
_cell_angle_beta 90.00
_cell_angle_gamma 90.00
_space_group_name_H-M_alt 'I 4/m c m'
_space_group_IT_number 140
_space_group_name_Hall '-I 4 2c'
loop_
_atom_site_label
_atom_site_type_symbol
_atom_site_fract_x
_atom_site_fract_y
_atom_site_fract_z
Nd1 Nd 0.000 0.000 0.000
Nd2 Nd 0.161 0.339 0.133
Sn1 Sn 0.000 0.000 0.250
Ru1 Ru 0.140 0.360 0.500
```

Computed properties:
* spin magnetization: 0.00 μB per formula unit
* final energy: -6.174 eV per atom
* mass density: 7.80 g/cm3
* energy of formation from the pure elements: -375 meV/atom

(13)
Entry from Alexandria: a geometry-optimized BaIn2Au3 structure (PBE).

Cell and atoms, written as CIF:
```
data_BaIn2Au3
_cell_length_a 4.8390
_cell_length_b 4.8390
_cell_length_c 15.1637
_cell_angle_alpha 90.00
_cell_angle_beta 90.00
_cell_angle_gamma 120.00
_space_group_name_H-M_alt 'P 63/m m c'
_space_group_IT_number 194
_space_group_name_Hall '-P 6c 2c'
loop_
_atom_site_label
_atom_site_type_symbol
_atom_site_fract_x
_atom_site_fract_y
_atom_site_fract_z
Ba1 Ba 0.0000 0.0000 0.2500
In1 In 0.3333 0.6667 0.0834
Au1 Au 0.0000 0.0000 0.0000
Au2 Au 0.3333 0.6667 0.6108
```

Computed properties:
* spin magnetization: 0.00 μB per formula unit
* final energy: -3.317 eV per atom
* mass density: 10.35 g/cm3
* energy of formation from the pure elements: -445 meV/atom

(14)
Entry from Alexandria: a geometry-optimized Sm3PPb structure (PBE).

Cell and atoms, written as CIF:
```
data_Sm3PPb
_cell_length_a 8.792
_cell_length_b 4.283
_cell_length_c 15.297
_cell_angle_alpha 90.00
_cell_angle_beta 90.00
_cell_angle_gamma 90.00
_space_group_name_H-M_alt 'P n m a'
_space_group_IT_number 62
_space_group_name_Hall '-P 2ac 2n'
loop_
_atom_site_label
_atom_site_type_symbol
_atom_site_fract_x
_atom_site_fract_y
_atom_site_fract_z
Sm1 Sm 0.022 0.250 0.107
Sm2 Sm 0.160 0.250 0.516
Sm3 Sm 0.187 0.750 0.286
P1 P 0.171 0.250 0.945
Pb1 Pb 0.092 0.750 0.678
```

Computed properties:
* distance to the lowest polymorph of the same formula: 0.000 eV/atom
* spin magnetization: 0.64 μB per formula unit
* final energy: -5.565 eV per atom
* mass density: 7.95 g/cm3
* energy of formation from the pure elements: -910 meV/atom

(15)
Entry from Alexandria: a geometry-optimized KCu2OsF structure (PBE).

Cell and atoms, written as CIF:
```
data_KCu2OsF
_cell_length_a 4.620
_cell_length_b 4.620
_cell_length_c 7.379
_cell_angle_alpha 90.00
_cell_angle_beta 90.00
_cell_angle_gamma 90.00
_space_group_name_H-M_alt 'P 4/m m m'
_space_group_IT_number 123
_space_group_name_Hall '-P 4 2'
loop_
_atom_site_label
_atom_site_type_symbol
_atom_site_fract_x
_atom_site_fract_y
_atom_site_fract_z
K1 K 0.000 0.000 0.000
Cu1 Cu 0.000 0.500 0.500
Os1 Os 0.000 0.000 0.500
F1 F 0.500 0.500 0.000
```

Computed properties:
* spin magnetization: 2.69 μB per formula unit
* final energy: -3.752 eV per atom
* mass density: 3.96 g/cm3

(16)
Entry from Alexandria: a geometry-optimized NaV2Cl structure (PBE).

Cell and atoms, written as CIF:
```
data_NaV2Cl
_cell_length_a 6.950
_cell_length_b 6.950
_cell_length_c 6.950
_cell_angle_alpha 90.00
_cell_angle_beta 90.00
_cell_angle_gamma 90.00
_space_group_name_H-M_alt 'F m -3 m'
_space_group_IT_number 225
_space_group_name_Hall '-F 4 2 3'
loop_
_atom_site_label
_atom_site_type_symbol
_atom_site_fract_x
_atom_site_fract_y
_atom_site_fract_z
Na1 Na 0.000 0.000 0.000
V1 V 0.250 0.250 0.250
Cl1 Cl 0.000 0.000 0.500
```

Computed properties:
* distance to the lowest polymorph of the same formula: 0.424 eV/atom
* spin magnetization: 8.00 μB per formula unit
* final energy: -4.260 eV per atom
* mass density: 3.17 g/cm3

(17)
Entry from Alexandria: a geometry-optimized RbBi6O8 structure (PBE).

Cell and atoms, written as CIF:
```
data_RbBi6O8
_cell_length_a 9.3461
_cell_length_b 9.3461
_cell_length_c 3.7454
_cell_angle_alpha 90.00
_cell_angle_beta 90.00
_cell_angle_gamma 120.00
_space_group_name_H-M_alt 'P -3'
_space_group_IT_number 147
_space_group_name_Hall '-P 3'
loop_
_atom_site_label
_atom_site_type_symbol
_atom_site_fract_x
_atom_site_fract_y
_atom_site_fract_z
Rb1 Rb 0.0000 0.0000 0.0000
Bi1 Bi 0.1417 0.4425 0.2644
O1 O 0.0257 0.7108 0.2571
O2 O 0.3333 0.6667 0.6918
```

Computed properties:
* spin magnetization: 0.00 μB per formula unit
* final energy: -5.202 eV per atom
* mass density: 8.60 g/cm3

(18)
Entry from Alexandria: a geometry-optimized CrCuSn3 structure (PBE).

Cell and atoms, written as CIF:
```
data_CrCuSn3
_cell_length_a 5.030
_cell_length_b 5.030
_cell_length_c 5.030
_cell_angle_alpha 90.00
_cell_angle_beta 90.00
_cell_angle_gamma 90.00
_space_group_name_H-M_alt 'P m -3 m'
_space_group_IT_number 221
_space_group_name_Hall '-P 4 2 3'
loop_
_atom_site_label
_atom_site_type_symbol
_atom_site_fract_x
_atom_site_fract_y
_atom_site_fract_z
Cr1 Cr 0.000 0.000 0.000
Cu1 Cu 0.500 0.500 0.500
Sn1 Sn 0.000 0.000 0.500
```

Computed properties:
* distance to the lowest polymorph of the same formula: 0.000 eV/atom
* spin magnetization: 1.00 μB per formula unit
* final energy: -4.630 eV per atom
* mass density: 6.15 g/cm3
* energy of formation from the pure elements: 515 meV/atom

(19)
Entry from Alexandria: a geometry-optimized RbTaGeTe structure (PBE).

Cell and atoms, written as CIF:
```
data_RbTaGeTe
_cell_length_a 3.487
_cell_length_b 3.777
_cell_length_c 16.950
_cell_angle_alpha 90.00
_cell_angle_beta 90.00
_cell_angle_gamma 90.00
_space_group_name_H-M_alt 'A m m 2'
_space_group_IT_number 38
_space_group_name_Hall 'A 2 -2'
loop_
_atom_site_label
_atom_site_type_symbol
_atom_site_fract_x
_atom_site_fract_y
_atom_site_fract_z
Rb1 Rb 0.000 0.000 0.000
Ta1 Ta 0.000 0.000 0.780
Ge1 Ge 0.500 0.000 0.330
Te1 Te 0.500 0.000 0.653
```

Computed properties:
* distance to the lowest polymorph of the same formula: 0.047 eV/atom
* spin magnetization: 0.00 μB per formula unit
* final energy: -5.234 eV per atom
* mass density: 6.94 g/cm3

(20)
Entry from Alexandria: a geometry-optimized BaMnSn3 structure (PBE).

Cell and atoms, written as CIF:
```
data_BaMnSn3
_cell_length_a 5.092
_cell_length_b 5.092
_cell_length_c 5.092
_cell_angle_alpha 90.00
_cell_angle_beta 90.00
_cell_angle_gamma 90.00
_space_group_name_H-M_alt 'P m -3 m'
_space_group_IT_number 221
_space_group_name_Hall '-P 4 2 3'
loop_
_atom_site_label
_atom_site_type_symbol
_atom_site_fract_x
_atom_site_fract_y
_atom_site_fract_z
Ba1 Ba 0.000 0.000 0.000
Mn1 Mn 0.500 0.500 0.500
Sn1 Sn 0.000 0.500 0.500
```

Computed properties:
* spin magnetization: 2.50 μB per formula unit
* final energy: -4.782 eV per atom
* mass density: 6.90 g/cm3
* energy of formation from the pure elements: -162 meV/atom